#one
Compound: Na2AgO2
Source: Alexandria via LeMat-Bulk
Functional: GGA-PBE
Structure: optimized geometry

Results
Calculated volume ... 64.5 Å³/f.u.
Magnetization ... 0.00 Bohr magnetons per cell

Lattice parameters (Å, degrees): 6.1485 6.1485 3.4112 90.00 90.00 90.00
Closest atoms and distances in Å follow each position.
Fractional positions:
Na  0.1366  0.3634  0.0000  6 O 2.35-2.59, 1 Na 2.38
Na  0.3634  0.8634  0.0000  6 O 2.35-2.59, 1 Na 2.38
Na  0.6366  0.1366  0.0000  6 O 2.35-2.59, 1 Na 2.38
Na  0.8634  0.6366  0.0000  6 O 2.35-2.59, 1 Na 2.38
Ag  0.0000  0.0000  0.5000  4 O 2.26
Ag  0.5000  0.5000  0.5000  4 O 2.26
O  0.1778  0.6778  0.5000  2 Ag 2.26, 2 Na 2.35
O  0.3222  0.1778  0.5000  2 Ag 2.26, 2 Na 2.35
O  0.6778  0.8222  0.5000  2 Ag 2.26, 2 Na 2.35
O  0.8222  0.3222  0.5000  2 Ag 2.26, 2 Na 2.35



#two
Compound: Na2AgO2
Source: Alexandria via LeMat-Bulk
Functional: GGA-PBE
Structure: optimized geometry

Results
Calculated volume ... 77.3 Å³/f.u.
Magnetization ... 1.25 Bohr magnetons per cell

Lattice parameters (Å, degrees): 3.3146 4.5535 10.2461 90.00 90.00 90.00
Closest atoms and distances in Å follow each position.
Fractional positions:
Na  0.0000  0.0000  0.1918  4 O 2.34-2.38
Na  0.0000  0.0000  0.8082  4 O 2.34-2.38
Na  0.5000  0.5000  0.3082  4 O 2.34-2.38
Na  0.5000  0.5000  0.6918  4 O 2.34-2.38
Ag  0.0000  0.0000  0.5000  4 O 2.20
Ag  0.5000  0.5000  0.0000  4 O 2.20
O  0.0000  0.5000  0.1412  2 Ag 2.20, 4 Na 2.34-2.38
O  0.0000  0.5000  0.8588  2 Ag 2.20, 4 Na 2.34-2.38
O  0.5000  0.0000  0.3588  2 Ag 2.20, 4 Na 2.34-2.38
O  0.5000  0.0000  0.6412  2 Ag 2.20, 4 Na 2.34-2.38



Energetically preferred structure: #two | next structure: +97 meV/atom



#one
Compound: Na3AgO3
Source: Alexandria via LeMat-Bulk
Functional: GGA-PBE
Structure: optimized geometry

Results
Calculated volume ... 114.7 Å³/f.u.
Magnetization ... 4.02 Bohr magnetons per cell

Lattice parameters (Å, degrees): 7.4623 7.4623 4.7563 90.00 90.00 120.00
Closest atoms and distances in Å follow each position.
Fractional positions:
Na  0.0825  0.3355  0.2500  4 O 2.38-2.39
Na  0.2531  0.9175  0.2500  4 O 2.38-2.39
Na  0.3355  0.2531  0.7500  4 O 2.38-2.39
Na  0.6645  0.7469  0.2500  4 O 2.38-2.39
Na  0.7469  0.0825  0.7500  4 O 2.38-2.39
Na  0.9175  0.6645  0.7500  4 O 2.38-2.39
Ag  0.3333  0.6667  0.7500  3 O 2.03
Ag  0.6667  0.3333  0.2500  3 O 2.03
O  0.0920  0.3713  0.7500  1 Ag 2.03
O  0.2793  0.9080  0.7500  1 Ag 2.03
O  0.3713  0.2793  0.2500  1 Ag 2.03
O  0.6287  0.7207  0.7500  1 Ag 2.03
O  0.7207  0.0920  0.2500  1 Ag 2.03
O  0.9080  0.6287  0.2500  1 Ag 2.03



#two
Compound: Na3AgO3
Source: Alexandria via LeMat-Bulk
Functional: GGA-PBE
Structure: optimized geometry

Results
Calculated volume ... 120.6 Å³/f.u.
Magnetization ... 1.96 Bohr magnetons per cell

Lattice parameters (Å, degrees): 6.1550 6.1550 6.1550 115.79 115.79 115.79
Closest atoms and distances in Å follow each position.
Fractional positions:
Na  0.1794  0.1794  0.6413  2 O 2.27-2.28
Na  0.1794  0.6413  0.1794  2 O 2.27-2.28
Na  0.6413  0.1794  0.1794  2 O 2.27-2.28
Ag  0.5552  0.5552  0.5552  3 O 2.03
O  0.2751  0.6098  0.6098  1 Ag 2.03
O  0.6098  0.2751  0.6098  1 Ag 2.03
O  0.6098  0.6098  0.2751  1 Ag 2.03



Energetically preferred structure: #one | next structure: +39 meV/atom